# 1
Here is crystalline Y2MgTa at its relaxed geometry from Alexandria. Energies are from PBEsol.

Computed properties:
**ΔH_f (0 K)**: 283.4 meV/atom
**Density of states at the Fermi level**: 3.9 states/eV per cell

Geometry as CIF:
```
data_Y2MgTa
_chemical_formula_sum 'Y2 Mg1 Ta1'
_cell_length_a 3.130
_cell_length_b 3.130
_cell_length_c 9.829
_cell_angle_alpha 90.00
_cell_angle_beta 90.00
_cell_angle_gamma 90.00
_symmetry_space_group_name_H-M 'P 4 m m'
_symmetry_Int_Tables_number 99
loop_
_symmetry_equiv_pos_as_xyz
'x,y,z'
'-y,x,z'
'-x,-y,z'
'y,-x,z'
'-x,y,z'
'y,x,z'
'x,-y,z'
'-y,-x,z'
loop_
_atom_site_label
_atom_site_fract_x
_atom_site_fract_y
_atom_site_fract_z
Y1 0.000 0.000 0.000
Y2 0.500 0.500 0.301
Mg1 0.000 0.000 0.559
Ta1 0.500 0.500 0.773
```

# 2
Here is crystalline SrO at its relaxed geometry from Alexandria. Energies are from PBEsol.

Computed properties:
**ΔE_f (raw)**: -2701 meV/atom
**Density of states at the Fermi level**: 0.0 states/eV per cell

Geometry as CIF:
```
data_SrO
_chemical_formula_sum 'Sr2 O2'
_cell_length_a 4.2473
_cell_length_b 4.2473
_cell_length_c 5.1154
_cell_angle_alpha 90.00
_cell_angle_beta 90.00
_cell_angle_gamma 120.00
_symmetry_space_group_name_H-M 'P 63/m m c'
_symmetry_Int_Tables_number 194
_symmetry_space_group_name_Hall '-P 6c 2c'
loop_
_atom_site_label
_atom_site_fract_x
_atom_site_fract_y
_atom_site_fract_z
Sr1 0.3333 0.6667 0.2500
O1 0.3333 0.6667 0.7500
```

# 3
Here is crystalline ScTl3Cd at its relaxed geometry from Alexandria. Energies are from PBEsol.

Computed properties:
**ΔH_f (0 K)**: 548.8 meV/atom
**Density of states at the Fermi level**: 3.8 states/eV per cell

Geometry as CIF:
```
data_ScTl3Cd
_chemical_formula_sum 'Sc1 Tl3 Cd1'
_cell_length_a 5.383
_cell_length_b 5.383
_cell_length_c 5.383
_cell_angle_alpha 90.00
_cell_angle_beta 90.00
_cell_angle_gamma 90.00
_symmetry_space_group_name_H-M 'P m -3 m'
_symmetry_Int_Tables_number 221
_symmetry_space_group_name_Hall '-P 4 2 3'
loop_
_atom_site_label
_atom_site_fract_x
_atom_site_fract_y
_atom_site_fract_z
Sc1 0.000 0.000 0.000
Tl1 0.000 0.500 0.500
Cd1 0.500 0.500 0.500
```

Record-wise total DFT energy (no corrections) values, in eV per atom: -6.69 -6.25 -2.59
Record-wise ρ values, in g/cm3: 6.607 4.306 8.203